a.
A geometry-optimized KInN structure, computed with PBE.

As for the crystal system: monoclinic.

The structure belongs to space group C2/m (No. 12); the cell edges are 6.191, 6.191 and 4.199 Å and the angles 90.00°, 90.16° and 90.00°. Symmetry generates all atoms from K at (0.000, 0.000, 0.000), In at (0.000, 0.500, 0.500) and N at (0.000, 0.500, 0.000).

=====

b.
A geometry-optimized KInN structure, computed with PBE.

As for the crystal system: monoclinic.

The structure belongs to space group Cm (No. 8); the cell edges are 6.258, 3.617 and 6.061 Å and the angles 90.00°, 90.25° and 90.00°. Symmetry generates all atoms from K at (0.000, 0.000, 0.000), In at (0.165, 0.500, 0.542) and N at (0.332, 0.000, 0.680).

=====

c.
A geometry-optimized KInN structure, computed with PBE.

As for the crystal system: monoclinic.

The structure belongs to space group Pm (No. 6); the cell edges are 6.335, 3.609 and 6.361 Å and the angles 90.00°, 110.49° and 90.00°. Symmetry generates all atoms from K at (0.000, 0.000, 0.000), K at (0.490, 0.500, 0.910), In at (0.007, 0.500, 0.523), In at (0.537, 0.000, 0.442), N at (0.202, 0.000, 0.539) and N at (0.742, 0.500, 0.659).

=====

Energies in eV/atom, measured from the most stable structure: a 0.185; b 0.021; c 0.000.